## LiNi2HgN (PBE)

Data for a relaxed LiNi2HgN crystal.

The structure belongs to space group P4/mmm (No. 123); the cell edges are 3.7909, 3.7909 and 4.1319 Å and the angles 90.00°, 90.00° and 90.00°. Symmetry generates all atoms from Li at (0.0000, 0.0000, 0.0000), Ni at (0.0000, 0.5000, 0.5000), Hg at (0.5000, 0.5000, 0.0000) and N at (0.0000, 0.0000, 0.5000).

The density of states at the Fermi level is 4.34 states/eV/f.u. The total magnetic moment comes out at 0.00 μB/f.u. As for the energy relative to the elements, uncorrected: -136 meV per atom. For the volume, the calculation gives 59.4 Å³/cell.

---

## Re2Mo (PBE)

Data for a relaxed Re2Mo crystal.

The structure belongs to space group Fm-3m (No. 225); the cell edges are 6.0036, 6.0036 and 6.0036 Å and the angles 90.00°, 90.00° and 90.00°. Symmetry generates all atoms from Re at (0.2500, 0.2500, 0.2500) and Mo at (0.0000, 0.0000, 0.0000).

As for the energy relative to the lowest polymorph listed for this composition: 0.784 eV/atom. The density of states at the Fermi level is 3.97 states/eV/f.u. The total magnetic moment comes out at 0.00 μB/f.u. The formation energy is 0.899 eV/atom. For the volume, the calculation gives 216.4 Å³/cell.

---

## Cd2Se (PBE)

Data for a relaxed Cd2Se crystal.

The structure belongs to space group P6_3/mmc (No. 194); the cell edges are 5.3344, 5.3344 and 5.7394 Å and the angles 90.00°, 90.00° and 120.00°. Symmetry generates all atoms from Cd at (0.0000, 0.0000, 0.0000), Cd at (0.3333, 0.6667, 0.2500) and Se at (0.3333, 0.6667, 0.7500).

As for the energy relative to the lowest polymorph listed for this composition: 0.156 eV/atom. The density of states at the Fermi level is 0.41 states/eV/f.u. The total magnetic moment comes out at 0.00 μB/f.u. As for the energy relative to the elements, uncorrected: -106 meV per atom. For the volume, the calculation gives 141.4 Å³/cell.

---

## CeDy2Lu (PBE)

Data for a relaxed CeDy2Lu crystal.

The structure belongs to space group P4/mmm (No. 123); the cell edges are 4.9529, 4.9529 and 4.9729 Å and the angles 90.00°, 90.00° and 90.00°. Symmetry generates all atoms from Ce at (0.0000, 0.0000, 0.0000), Dy at (0.0000, 0.5000, 0.5000) and Lu at (0.5000, 0.5000, 0.0000).

As for the energy relative to the lowest polymorph listed for this composition: 0.004 eV/atom. The density of states at the Fermi level is 7.03 states/eV/f.u. The total magnetic moment comes out at 0.52 μB/f.u. The formation energy is 0.066 eV/atom. For the volume, the calculation gives 122.0 Å³/cell.